Compound: SrNdH2
Source: Alexandria
Functional: PBE
Structure: optimized geometry

Symmetry: R3m (160)
Total magnetization: 0.938 μB per formula unit
Total DFT energy (no corrections): -3.5585 eV per atom

a b c (Å): 6.8874 6.8874 6.8874
angles (deg): 33.08 33.08 33.08
Element x y z (fractional)
Sr1 0.0000 0.0000 0.0000
Nd1 0.1850 0.1850 0.1850
H1 0.5798 0.5798 0.5798
H2 0.8629 0.8629 0.8629